Entry 1:
# AlSb2Pb

Crystalline AlSb2Pb at its relaxed geometry (GGA-PBE, Alexandria via LeMat-Bulk).

Lattice parameters (Å, degrees): 5.3283 5.3283 5.3283 60.00 60.00 60.00
Fractional coordinates of all 4 atoms:
Pb  0.5000  0.5000  0.5000
Sb  0.2500  0.2500  0.2500
Sb  0.7500  0.7500  0.7500
Al  0.0000  0.0000  0.0000

Summary:
Space group = Fm-3m (225)
Crystal system = cubic
Uncorrected formation energy = 0.24 eV/atom


Entry 2:
# MoIrRu

Crystalline MoIrRu at its relaxed geometry (GGA-PBE, Alexandria via LeMat-Bulk).

Lattice parameters (Å, degrees): 4.7838 4.7838 4.7838 146.69 132.13 59.56
Fractional coordinates of all 3 atoms:
Ir  0.0010  0.0010  0.0000
Mo  0.3328  0.3328  0.0000
Ru  0.6662  0.6662  0.0000

Summary:
Space group = Imm2 (44)
Crystal system = orthorhombic


Entry 3:
# LaTb2Y2

Crystalline LaTb2Y2 at its relaxed geometry (GGA-PBE, Alexandria via LeMat-Bulk).

Lattice parameters (Å, degrees): 5.5562 7.0824 8.9232 90.00 108.14 90.00
Fractional coordinates of all 10 atoms:
La  0.3920  0.0769  0.7839
La  0.6080  0.5769  0.2161
Tb  0.3870  0.5769  0.7740
Tb  0.8011  0.8261  0.6023
Tb  0.1989  0.3261  0.3977
Tb  0.6130  0.0769  0.2260
Y  0.9995  0.8271  0.9990
Y  0.8009  0.3273  0.6018
Y  0.1991  0.8273  0.3982
Y  0.0005  0.3271  0.0010

Summary:
Space group = Cmc2_1 (36)
Crystal system = orthorhombic


Computed polymorph energy (0 for the lowest one) (eV/f.u.) in order:
0.767; 0.269; 0.000